1.
Material: CaLuPt4
Method: DFT, PBE
State: relaxed

Unit cell a=7.6643 b=7.6643 c=7.6643 alpha=90.00 beta=90.00 gamma=90.00
Closest atoms and distances in Å follow each position.
Space group F-43m (No. 216)
Inequivalent atoms, fractional coordinates:
Ca  0.0000  0.0000  0.0000  12 Pt 3.18, 4 Lu 3.32
Lu  0.2500  0.2500  0.2500  12 Pt 3.18, 4 Ca 3.32
Pt  0.1250  0.1250  0.6250  6 Pt 2.71

M_tot: 0.00 μB/cell
DOS at the Fermi energy: 1.30 states/eV per atom
Final energy: -147.12 eV/cell
ΔH_f (0 K): -23.42 kcal/mol of atoms


2.
Material: CaLuPt2
Method: DFT, PBE
State: relaxed

Unit cell a=6.8840 b=6.8840 c=6.8840 alpha=90.00 beta=90.00 gamma=90.00
Closest atoms and distances in Å follow each position.
Space group Fm-3m (No. 225)
Inequivalent atoms, fractional coordinates:
Ca  0.0000  0.0000  0.0000  8 Pt 2.98
Lu  0.0000  0.0000  0.5000  8 Pt 2.98
Pt  0.2500  0.2500  0.2500  4 Lu 2.98, 4 Ca 2.98

M_tot: 0.00 μB/cell
DOS at the Fermi energy: 0.48 states/eV per atom
Final energy: -91.88 eV/cell
ΔH_f (0 K): -25.17 kcal/mol of atoms


Which formula does entry 2 have? CaLuPt2